This record from the Alexandria database describes crystalline LiYBe2O at its relaxed geometry. The functional is GGA-PBE.

Unit cell a=4.160 b=3.886 c=4.160 alpha=90.00 beta=90.00 gamma=90.00
Positions (direct):
Y: 0.500 0.500 0.500
Be: 0.000 0.000 0.500
Be: 0.500 0.000 0.000
O: 0.000 0.500 0.000
Li: 0.000 0.000 0.000

Summary:
SG ... P4/mmm (123)
E_form (uncorrected) ... 0.18 eV/f.u.
DOS at the Fermi energy ... 0.37 states/eV/atom
Size of the total moment ... 0.0 μB per formula unit